[1]
# AsIrBr

A geometry-optimized AsIrBr structure (PBE-GGA, OQMD).

The final energy comes out at -4.30 eV/atom. The calculation puts the magnetization at 0.005 μB/f.u.

The space group is P-62m (No. 189) and the conventional cell measures 8.5391, 8.5391 and 3.5450 Å, with angles of 90.00, 90.00 and 120.00 degrees. The distinct sites, in fractional coordinates, are As at (0.0000, 0.2810, 0.0000), Ir at (0.0000, 0.4542, 0.5000), Br at (0.0000, 0.0000, 0.5000) and Br at (0.3333, 0.6667, 0.0000).

---

[2]
# K2NiAsBr6

A geometry-optimized K2NiAsBr6 structure (PBE-GGA, OQMD).

The final energy comes out at -3.08 eV/atom. The calculation puts the magnetization at 0.993 μB/f.u.

The space group is Fm-3m (No. 225) and the conventional cell measures 10.517, 10.517 and 10.517 Å, with angles of 90.00, 90.00 and 90.00 degrees. The distinct sites, in fractional coordinates, are K at (0.250, 0.250, 0.250), Ni at (0.000, 0.000, 0.000), As at (0.000, 0.000, 0.500) and Br at (0.000, 0.000, 0.244).

---

[3]
# K2AsPdBr6

A geometry-optimized K2AsPdBr6 structure (PBE-GGA, OQMD).

The final energy comes out at -3.07 eV/atom.

The space group is Fm-3m (No. 225) and the conventional cell measures 10.673, 10.673 and 10.673 Å, with angles of 90.00, 90.00 and 90.00 degrees. The distinct sites, in fractional coordinates, are K at (0.250, 0.250, 0.250), As at (0.000, 0.000, 0.000), Pd at (0.000, 0.000, 0.500) and Br at (0.000, 0.000, 0.251).

---

[4]
# LaNd3As2Br2

A geometry-optimized LaNd3As2Br2 structure (PBE-GGA, OQMD).

The final energy comes out at -5.44 eV/atom. The calculation puts the magnetization at 0.006 μB/f.u.

The space group is P3m1 (No. 156) and the conventional cell measures 4.2275, 4.2275 and 14.8701 Å, with angles of 90.00, 90.00 and 120.00 degrees. The distinct sites, in fractional coordinates, are La at (0.0000, 0.0000, 0.0000), Nd at (0.0000, 0.0000, 0.2898), Nd at (0.6667, 0.3333, 0.4984), Nd at (0.6667, 0.3333, 0.7847), As at (0.3333, 0.6667, 0.3944), As at (0.3333, 0.6667, 0.8892), Br at (0.0000, 0.0000, 0.6414) and Br at (0.6667, 0.3333, 0.1477).

---

[5]
# LaNdAsBr

A geometry-optimized LaNdAsBr structure (PBE-GGA, OQMD).

The final energy comes out at -5.49 eV/atom. The calculation puts the magnetization at 0.007 μB/f.u. For the distance to the lowest polymorph of the same formula, the calculation gives 0 meV/atom.

The space group is P-6m2 (No. 187) and the conventional cell measures 4.2416, 4.2416 and 14.9940 Å, with angles of 90.00, 90.00 and 120.00 degrees. The distinct sites, in fractional coordinates, are La at (0.0000, 0.0000, 0.1463), Nd at (0.6667, 0.3333, 0.3586), As at (0.3333, 0.6667, 0.2558), Br at (0.0000, 0.0000, 0.5000) and Br at (0.6667, 0.3333, 0.0000).

---

[6]
# LaNdAsBr

A geometry-optimized LaNdAsBr structure (PBE-GGA, OQMD).

The final energy comes out at -5.49 eV/atom. The calculation puts the magnetization at 0.010 μB/f.u. For the distance to the lowest polymorph of the same formula, the calculation gives 2 meV/atom.

The space group is P-3m1 (No. 164) and the conventional cell measures 4.2441, 4.2441 and 14.9530 Å, with angles of 90.00, 90.00 and 120.00 degrees. The distinct sites, in fractional coordinates, are La at (0.3333, 0.6667, 0.3904), Nd at (0.3333, 0.6667, 0.1031), As at (0.0000, 0.0000, 0.0000), As at (0.0000, 0.0000, 0.5000) and Br at (0.3333, 0.6667, 0.7561).

---

[7]
# La3PrAs2Br2

A geometry-optimized La3PrAs2Br2 structure (PBE-GGA, OQMD).

The final energy comes out at -5.54 eV/atom. The calculation puts the magnetization at 0.011 μB/f.u.

The space group is P3m1 (No. 156) and the conventional cell measures 4.2734, 4.2734 and 15.0526 Å, with angles of 90.00, 90.00 and 120.00 degrees. The distinct sites, in fractional coordinates, are La at (0.0000, 0.0000, 0.0000), La at (0.0000, 0.0000, 0.2875), La at (0.6667, 0.3333, 0.5027), Pr at (0.6667, 0.3333, 0.7887), As at (0.3333, 0.6667, 0.3953), As at (0.3333, 0.6667, 0.8927), Br at (0.0000, 0.0000, 0.6470) and Br at (0.6667, 0.3333, 0.1437).

---

[8]
# Nd5As2BrO10

A geometry-optimized Nd5As2BrO10 structure (PBE-GGA, OQMD).

The final energy comes out at -7.46 eV/atom. The calculation puts the magnetization at 0.010 μB/f.u.

The space group is C2/m (No. 12) and the conventional cell measures 12.483, 5.697 and 8.983 Å, with angles of 90.00, 116.15 and 90.00 degrees. The distinct sites, in fractional coordinates, are Nd at (0.000, 0.000, 0.000), Nd at (0.001, 0.500, 0.708), Nd at (0.246, 0.500, 0.129), As at (0.215, 0.000, 0.397), Br at (0.000, 0.000, 0.500), O at (0.121, 0.253, 0.917), O at (0.141, 0.236, 0.249) and O at (0.141, 0.500, 0.599).